CaCu2PS4: relaxed, GGA-PBE.

Structure (CIF):
```
data_CaCu2PS4
_symmetry_space_group_name_H-M 'I 2 2 2'
_symmetry_Int_Tables_number 23
_symmetry_space_group_name_Hall 'I 2 2'
_cell_length_a 6.205
_cell_length_b 6.548
_cell_length_c 7.572
_cell_angle_alpha 90.00
_cell_angle_beta 90.00
_cell_angle_gamma 90.00
loop_
_atom_site_label
_atom_site_type_symbol
_atom_site_fract_x
_atom_site_fract_y
_atom_site_fract_z
Ca1 Ca 0.000 0.000 0.000
Cu1 Cu 0.000 0.500 0.183
P1 P 0.000 0.000 0.500
S1 S 0.199 0.194 0.328
```

Computed properties:
ρ in g/cm³: 3.52
DOS at the Fermi energy in states/eV/f.u.: 3.5
Total magnetic moment in μB/cell: 0.000
E_form (uncorrected) in meV/atom: -505

---

Pr3DyC8: relaxed, GGA-PBE.

Structure (CIF):
```
data_Pr3DyC8
_symmetry_space_group_name_H-M 'I -4 2 m'
_symmetry_Int_Tables_number 121
_symmetry_space_group_name_Hall 'I -4 2'
_cell_length_a 7.330
_cell_length_b 7.330
_cell_length_c 7.712
_cell_angle_alpha 90.00
_cell_angle_beta 90.00
_cell_angle_gamma 90.00
loop_
_atom_site_label
_atom_site_type_symbol
_atom_site_fract_x
_atom_site_fract_y
_atom_site_fract_z
Pr1 Pr 0.000 0.000 0.000
Pr2 Pr 0.000 0.500 0.250
Dy1 Dy 0.000 0.000 0.500
C1 C 0.160 0.160 0.718
C2 C 0.236 0.236 0.126
```

Computed properties:
DFT total energy in eV per atom: -7.566
ρ in g/cm³: 5.46
DOS at the Fermi energy in states/eV/f.u.: 3.0
Total magnetic moment in μB/cell: 0.000

---

Ho6RuRh3: relaxed, GGA-PBE.

Structure (CIF):
```
data_Ho6RuRh3
_symmetry_space_group_name_H-M 'P n n m'
_symmetry_Int_Tables_number 58
_symmetry_space_group_name_Hall '-P 2 2n'
_cell_length_a 8.145
_cell_length_b 11.977
_cell_length_c 4.720
_cell_angle_alpha 90.00
_cell_angle_beta 90.00
_cell_angle_gamma 90.00
loop_
_atom_site_label
_atom_site_type_symbol
_atom_site_fract_x
_atom_site_fract_y
_atom_site_fract_z
Ho1 Ho 0.003 0.246 0.000
Ho2 Ho 0.160 0.412 0.500
Ho3 Ho 0.173 0.080 0.500
Ru1 Ru 0.000 0.500 0.000
Rh1 Rh 0.000 0.000 0.000
Rh2 Rh 0.164 0.836 0.500
```

Computed properties:
DFT total energy in eV per atom: -6.450
ρ in g/cm³: 10.09
DOS at the Fermi energy in states/eV/f.u.: 6.1
Total magnetic moment in μB/cell: 0.000

---

CuHg2Te: relaxed, GGA-PBE.

Structure (CIF):
```
data_CuHg2Te
_symmetry_space_group_name_H-M 'C m m 2'
_symmetry_Int_Tables_number 35
_symmetry_space_group_name_Hall 'C 2 -2'
_cell_length_a 4.067
_cell_length_b 5.096
_cell_length_c 9.608
_cell_angle_alpha 90.00
_cell_angle_beta 90.00
_cell_angle_gamma 90.00
loop_
_atom_site_label
_atom_site_type_symbol
_atom_site_fract_x
_atom_site_fract_y
_atom_site_fract_z
Cu1 Cu 0.000 0.000 0.000
Hg1 Hg 0.000 0.000 0.520
Hg2 Hg 0.000 0.500 0.798
Te1 Te 0.000 0.500 0.181
```

Computed properties:
ρ in g/cm³: 9.88
DOS at the Fermi energy in states/eV/f.u.: 1.0
Total magnetic moment in μB/cell: 0.000
E_form (uncorrected) in meV/atom: 164